# 1
# PBE TbErSn2Pd4, optimized geometry
# * total magnetic moment: 0.0 μB per formula unit
# * total DFT energy (no corrections): -5.63 eV per atom
data_TbErSn2Pd4
_symmetry_space_group_name_H-M 'P -6 m 2'
_symmetry_Int_Tables_number 187
_symmetry_space_group_name_Hall 'P -6 2'
_cell_length_a 4.5792
_cell_length_b 4.5792
_cell_length_c 8.9346
_cell_angle_alpha 90.00
_cell_angle_beta 90.00
_cell_angle_gamma 120.00
loop_
_atom_site_label
_atom_site_type_symbol
_atom_site_fract_x
_atom_site_fract_y
_atom_site_fract_z
_atom_site_occupancy
Tb1 Tb 0.0000 0.0000 0.0000 1
Er1 Er 0.3333 0.6667 0.5000 1
Sn1 Sn 0.6667 0.3333 0.2507 1
Pd1 Pd 0.0000 0.0000 0.3363 1
Pd2 Pd 0.3333 0.6667 0.1654 1

***

# 2
# PBE TbErSnPd2, optimized geometry
# * total magnetic moment: 0.0 μB per formula unit
# * total DFT energy (no corrections): -5.62 eV per atom
data_TbErSnPd2
_symmetry_space_group_name_H-M 'A m m 2'
_symmetry_Int_Tables_number 38
_cell_length_a 3.5711
_cell_length_b 4.2478
_cell_length_c 14.6196
_cell_angle_alpha 90.00
_cell_angle_beta 90.00
_cell_angle_gamma 90.00
loop_
_symmetry_equiv_pos_as_xyz
'x,y,z'
'-x,-y,z'
'-x,y,z'
'x,-y,z'
'x,y+1/2,z+1/2'
'-x,-y+1/2,z+1/2'
'-x,y+1/2,z+1/2'
'x,-y+1/2,z+1/2'
loop_
_atom_site_label
_atom_site_type_symbol
_atom_site_fract_x
_atom_site_fract_y
_atom_site_fract_z
_atom_site_occupancy
Tb1 Tb 0.0000 0.0000 0.0000 1
Er1 Er 0.0000 0.0000 0.2628 1
Sn1 Sn 0.5000 0.0000 0.6315 1
Pd1 Pd 0.5000 0.0000 0.4398 1
Pd2 Pd 0.5000 0.0000 0.8202 1

***

# 3
# PBE ErTm2Sn4Pd4, optimized geometry
# * total magnetic moment: 0.0 μB per formula unit
# * total DFT energy (no corrections): -5.36 eV per atom
data_ErTm2Sn4Pd4
_symmetry_space_group_name_H-M 'I m m m'
_symmetry_Int_Tables_number 71
_symmetry_space_group_name_Hall '-I 2 2'
_cell_length_a 4.3733
_cell_length_b 7.3629
_cell_length_c 14.6066
_cell_angle_alpha 90.00
_cell_angle_beta 90.00
_cell_angle_gamma 90.00
loop_
_atom_site_label
_atom_site_type_symbol
_atom_site_fract_x
_atom_site_fract_y
_atom_site_fract_z
_atom_site_occupancy
Er1 Er 0.0000 0.0000 0.0000 1
Tm1 Tm 0.0000 0.5000 0.1302 1
Sn1 Sn 0.0000 0.0000 0.2133 1
Sn2 Sn 0.0000 0.1976 0.5000 1
Pd1 Pd 0.0000 0.2962 0.3222 1

***

# 4
# PBE ErTmSnPd2, optimized geometry
# * total magnetic moment: 0.0 μB per formula unit
# * total DFT energy (no corrections): -5.59 eV per atom
data_ErTmSnPd2
_symmetry_space_group_name_H-M 'A m m 2'
_symmetry_Int_Tables_number 38
_cell_length_a 3.5183
_cell_length_b 4.2517
_cell_length_c 14.5348
_cell_angle_alpha 90.00
_cell_angle_beta 90.00
_cell_angle_gamma 90.00
loop_
_symmetry_equiv_pos_as_xyz
'x,y,z'
'-x,-y,z'
'-x,y,z'
'x,-y,z'
'x,y+1/2,z+1/2'
'-x,-y+1/2,z+1/2'
'-x,y+1/2,z+1/2'
'x,-y+1/2,z+1/2'
loop_
_atom_site_label
_atom_site_type_symbol
_atom_site_fract_x
_atom_site_fract_y
_atom_site_fract_z
_atom_site_occupancy
Er1 Er 0.0000 0.0000 0.0000 1
Tm1 Tm 0.0000 0.0000 0.7358 1
Sn1 Sn 0.5000 0.0000 0.3680 1
Pd1 Pd 0.5000 0.0000 0.1782 1
Pd2 Pd 0.5000 0.0000 0.5587 1

***

# 5
# PBE ErTmSn2Pd4, optimized geometry
# * total magnetic moment: 0.0 μB per formula unit
# * total DFT energy (no corrections): -5.61 eV per atom
data_ErTmSn2Pd4
_symmetry_space_group_name_H-M 'P -6 m 2'
_symmetry_Int_Tables_number 187
_symmetry_space_group_name_Hall 'P -6 2'
_cell_length_a 4.5588
_cell_length_b 4.5588
_cell_length_c 8.9026
_cell_angle_alpha 90.00
_cell_angle_beta 90.00
_cell_angle_gamma 120.00
loop_
_atom_site_label
_atom_site_type_symbol
_atom_site_fract_x
_atom_site_fract_y
_atom_site_fract_z
_atom_site_occupancy
Er1 Er 0.0000 0.0000 0.0000 1
Tm1 Tm 0.3333 0.6667 0.5000 1
Sn1 Sn 0.6667 0.3333 0.2506 1
Pd1 Pd 0.0000 0.0000 0.3376 1
Pd2 Pd 0.3333 0.6667 0.1635 1

***

# 6
# PBE YErSnPd2, optimized geometry
# * total magnetic moment: 0.0 μB per formula unit
# * total DFT energy (no corrections): -5.99 eV per atom
data_YErSnPd2
_symmetry_space_group_name_H-M 'A m m 2'
_symmetry_Int_Tables_number 38
_cell_length_a 3.5699
_cell_length_b 4.2537
_cell_length_c 14.5778
_cell_angle_alpha 90.00
_cell_angle_beta 90.00
_cell_angle_gamma 90.00
loop_
_symmetry_equiv_pos_as_xyz
'x,y,z'
'-x,-y,z'
'-x,y,z'
'x,-y,z'
'x,y+1/2,z+1/2'
'-x,-y+1/2,z+1/2'
'-x,y+1/2,z+1/2'
'x,-y+1/2,z+1/2'
loop_
_atom_site_label
_atom_site_type_symbol
_atom_site_fract_x
_atom_site_fract_y
_atom_site_fract_z
_atom_site_occupancy
Y1 Y 0.0000 0.0000 0.0000 1
Er1 Er 0.0000 0.0000 0.2626 1
Sn1 Sn 0.5000 0.0000 0.6302 1
Pd1 Pd 0.5000 0.0000 0.4383 1
Pd2 Pd 0.5000 0.0000 0.8188 1

***

# 7
# PBE ErZn2SnPd4, optimized geometry
# * total magnetic moment: 0.0 μB per formula unit
# * total DFT energy (no corrections): -4.61 eV per atom
data_ErZn2SnPd4
_symmetry_space_group_name_H-M 'P 4/m m m'
_symmetry_Int_Tables_number 123
_symmetry_space_group_name_Hall '-P 4 2'
_cell_length_a 4.6139
_cell_length_b 4.6139
_cell_length_c 6.4398
_cell_angle_alpha 90.00
_cell_angle_beta 90.00
_cell_angle_gamma 90.00
loop_
_atom_site_label
_atom_site_type_symbol
_atom_site_fract_x
_atom_site_fract_y
_atom_site_fract_z
_atom_site_occupancy
Er1 Er 0.0000 0.0000 0.0000 1
Zn1 Zn 0.0000 0.0000 0.5000 1
Zn2 Zn 0.5000 0.5000 0.0000 1
Sn1 Sn 0.5000 0.5000 0.5000 1
Pd1 Pd 0.0000 0.5000 0.2635 1

***

# 8
# PBE SrErPd, optimized geometry
# * total magnetic moment: 0.0 μB per formula unit
# * total DFT energy (no corrections): -4.13 eV per atom
# * energy above the lowest structure with this stoichiometry: 0.000 eV per atom
data_SrErPd
_symmetry_space_group_name_H-M 'F -4 3 m'
_symmetry_Int_Tables_number 216
_symmetry_space_group_name_Hall 'F -4 2 3'
_cell_length_a 7.1217
_cell_length_b 7.1217
_cell_length_c 7.1217
_cell_angle_alpha 90.00
_cell_angle_beta 90.00
_cell_angle_gamma 90.00
loop_
_atom_site_label
_atom_site_type_symbol
_atom_site_fract_x
_atom_site_fract_y
_atom_site_fract_z
_atom_site_occupancy
Sr1 Sr 0.0000 0.0000 0.0000 1
Er1 Er 0.0000 0.0000 0.5000 1
Pd1 Pd 0.2500 0.2500 0.7500 1

***

# 9
# PBE Tb3ErPd4, optimized geometry
# * total magnetic moment: 0.0 μB per formula unit
# * total DFT energy (no corrections): -5.82 eV per atom
data_Tb3ErPd4
_symmetry_space_group_name_H-M 'P 1 m 1'
_symmetry_Int_Tables_number 6
_cell_length_a 5.5968
_cell_length_b 4.5725
_cell_length_c 6.9412
_cell_angle_alpha 90.00
_cell_angle_beta 90.34
_cell_angle_gamma 90.00
loop_
_symmetry_equiv_pos_as_xyz
'x,y,z'
'x,-y,z'
loop_
_atom_site_label
_atom_site_type_symbol
_atom_site_fract_x
_atom_site_fract_y
_atom_site_fract_z
_atom_site_occupancy
Tb1 Tb 0.0000 0.0000 0.0000 1
Tb2 Tb 0.2137 0.0000 0.4992 1
Tb3 Tb 0.5013 0.5000 0.8645 1
Er1 Er 0.7148 0.5000 0.3638 1
Pd1 Pd 0.0108 0.5000 0.7217 1
Pd2 Pd 0.2023 0.5000 0.2247 1
Pd3 Pd 0.5149 0.0000 0.1452 1
Pd4 Pd 0.7024 0.0000 0.6346 1

***

# 10
# PBE TbEr3Pd4, optimized geometry
# * total magnetic moment: 0.0 μB per formula unit
# * total DFT energy (no corrections): -5.82 eV per atom
data_TbEr3Pd4
_symmetry_space_group_name_H-M 'P 1 m 1'
_symmetry_Int_Tables_number 6
_cell_length_a 5.5639
_cell_length_b 4.5489
_cell_length_c 6.8904
_cell_angle_alpha 90.00
_cell_angle_beta 90.35
_cell_angle_gamma 90.00
loop_
_symmetry_equiv_pos_as_xyz
'x,y,z'
'x,-y,z'
loop_
_atom_site_label
_atom_site_type_symbol
_atom_site_fract_x
_atom_site_fract_y
_atom_site_fract_z
_atom_site_occupancy
Tb1 Tb 0.0000 0.0000 0.0000 1
Er1 Er 0.2122 0.0000 0.4993 1
Er2 Er 0.4990 0.5000 0.1349 1
Er3 Er 0.7107 0.5000 0.6340 1
Pd1 Pd 0.0123 0.5000 0.2815 1
Pd2 Pd 0.2009 0.5000 0.7707 1
Pd3 Pd 0.5120 0.0000 0.8570 1
Pd4 Pd 0.6968 0.0000 0.3600 1

***

# 11
# PBE TbErPd6, optimized geometry
# * total magnetic moment: 0.0 μB per formula unit
# * total DFT energy (no corrections): -5.93 eV per atom
data_TbErPd6
_symmetry_space_group_name_H-M 'P 4/m m m'
_symmetry_Int_Tables_number 123
_symmetry_space_group_name_Hall '-P 4 2'
_cell_length_a 4.1062
_cell_length_b 4.1062
_cell_length_c 8.2068
_cell_angle_alpha 90.00
_cell_angle_beta 90.00
_cell_angle_gamma 90.00
loop_
_atom_site_label
_atom_site_type_symbol
_atom_site_fract_x
_atom_site_fract_y
_atom_site_fract_z
_atom_site_occupancy
Tb1 Tb 0.0000 0.0000 0.0000 1
Er1 Er 0.0000 0.0000 0.5000 1
Pd1 Pd 0.0000 0.5000 0.2523 1
Pd2 Pd 0.5000 0.5000 0.0000 1
Pd3 Pd 0.5000 0.5000 0.5000 1

***

# 12
# PBE ErTcPd, optimized geometry
# * total magnetic moment: 2.3 μB per formula unit
# * total DFT energy (no corrections): -6.45 eV per atom
# * energy above the lowest structure with this stoichiometry: 0.000 eV per atom
data_ErTcPd
_symmetry_space_group_name_H-M 'F -4 3 m'
_symmetry_Int_Tables_number 216
_symmetry_space_group_name_Hall 'F -4 2 3'
_cell_length_a 6.3972
_cell_length_b 6.3972
_cell_length_c 6.3972
_cell_angle_alpha 90.00
_cell_angle_beta 90.00
_cell_angle_gamma 90.00
loop_
_atom_site_label
_atom_site_type_symbol
_atom_site_fract_x
_atom_site_fract_y
_atom_site_fract_z
_atom_site_occupancy
Er1 Er 0.0000 0.0000 0.0000 1
Tc1 Tc 0.0000 0.0000 0.5000 1
Pd1 Pd 0.2500 0.2500 0.2500 1